1.
## NpU2Tl3Se6 (PBE-GGA)

Data for an optimized crystal structure of NpU2Tl3Se6.

Cell and atoms, written as extended XYZ:
```
12
Lattice="3.623 -6.274 0.000 3.623 6.274 0.000 -2.414 0.000 7.853" Properties=species:S:1:pos:R:3 pbc="T T T"
Np 0.000 0.000 0.000
U 3.623 2.093 0.000
U 3.623 -2.093 0.000
Tl 2.416 4.192 3.926
Tl 2.416 0.000 3.926
Tl 2.416 -4.192 3.926
Se 1.218 2.107 1.613
Se 0.020 0.000 6.246
Se 1.218 -2.107 1.613
Se 3.614 2.107 6.240
Se 4.812 0.000 1.607
Se 3.614 -2.107 6.240
```

Fermi-level density of states: 21.3 states/eV/cell
final energy: -74.19 eV for the cell shown
magnetic moment: 0.8334 μB/atom
space group: C2/m, No. 12

***

2.
## SrCdInAg2 (PBE-GGA)

Data for an optimized crystal structure of SrCdInAg2.

Cell and atoms, written as extended XYZ:
```
5
Lattice="-2.228 2.254 6.426 2.228 -2.254 6.426 2.228 2.254 -6.426" Properties=species:S:1:pos:R:3 pbc="T T T"
Sr 0.000 0.000 0.000
Cd 0.000 0.000 7.923
In 2.228 0.000 3.392
Ag 0.000 0.000 5.161
Ag 0.000 2.254 3.348
```

Fermi-level density of states: 2.4 states/eV/cell
energy relative to the elements: -0.228 eV per atom
magnetic moment: 0.0000 μB/atom
space group: Imm2, No. 44

***

3.
## TbZrSe (PBE-GGA)

Data for an optimized crystal structure of TbZrSe.

Cell and atoms, written as extended XYZ:
```
6
Lattice="4.084 0.000 0.000 0.000 4.084 0.000 0.000 0.000 8.114" Properties=species:S:1:pos:R:3 pbc="T T T"
Tb 1.021 1.021 1.116
Tb 3.063 3.063 6.999
Zr 1.021 3.063 4.057
Zr 3.063 1.021 4.057
Se 1.021 1.021 6.136
Se 3.063 3.063 1.979
```

Fermi-level density of states: 5.2 states/eV/cell
final energy: -39.17 eV for the cell shown
magnetic moment: 0.0000 μB/atom
space group: P4/nmm, No. 129

***

4.
## BeVSCl2 (PBE-GGA)

Data for an optimized crystal structure of BeVSCl2.

Cell and atoms, written as extended XYZ:
```
5
Lattice="4.714 0.000 0.000 0.000 4.714 0.000 0.000 0.000 4.583" Properties=species:S:1:pos:R:3 pbc="T T T"
Be 0.000 0.000 0.000
V 2.357 2.357 2.291
S 2.357 2.357 0.000
Cl 0.000 2.357 2.291
Cl 2.357 0.000 2.291
```

Fermi-level density of states: 5.1 states/eV/cell
magnetic moment: 0.0094 μB/atom
energy relative to the lowest polymorph listed for this composition: 124 kJ/mol of formula units
space group: P4/mmm, No. 123

***

5.
## LaDy5Y2Er (PBE-GGA)

Data for an optimized crystal structure of LaDy5Y2Er.

Cell and atoms, written as extended XYZ:
```
18
Lattice="2.820 -9.893 0.000 2.820 9.893 0.000 0.000 0.000 10.566" Properties=species:S:1:pos:R:3 pbc="T T T"
La 2.820 8.276 5.283
La 2.820 -8.276 0.000
Dy 2.820 9.499 8.288
Dy 2.820 7.643 0.732
Dy 2.820 5.877 7.981
Dy 2.820 5.578 3.809
Dy 2.820 0.365 0.762
Dy 2.820 -0.365 6.045
Dy 2.820 -5.578 9.092
Dy 2.820 -5.877 2.698
Dy 2.820 -7.643 6.015
Dy 2.820 -9.499 3.005
Y 2.820 2.245 3.868
Y 2.820 2.205 8.234
Y 2.820 -2.205 2.951
Y 2.820 -2.245 9.151
Er 2.820 3.977 0.621
Er 2.820 -3.977 5.904
```

Fermi-level density of states: 30.3 states/eV/cell
energy relative to the elements: 0.162 eV per atom
magnetic moment: 0.0000 μB/atom
space group: Cmc2_1, No. 36

***

6.
## Pm12Sn5N2 (PBE-GGA)

Data for an optimized crystal structure of Pm12Sn5N2.

Cell and atoms, written as extended XYZ:
```
19
Lattice="8.719 -3.813 0.000 8.719 3.813 0.000 -2.657 0.000 9.153" Properties=species:S:1:pos:R:3 pbc="T T T"
Pm -0.459 0.000 1.666
Pm 4.954 1.869 3.881
Pm 3.660 1.848 8.471
Pm 9.827 1.869 5.272
Pm 11.121 1.848 0.682
Pm 8.252 0.000 1.546
Pm 6.529 0.000 7.608
Pm 3.660 -1.848 8.471
Pm 4.954 -1.869 3.881
Pm 11.121 -1.848 0.682
Pm 9.827 -1.869 5.272
Pm 15.240 0.000 7.487
Sn 1.001 0.000 7.715
Sn 2.413 0.000 3.168
Sn 7.391 0.000 4.577
Sn 12.368 0.000 5.985
Sn 13.781 0.000 1.439
N 8.719 1.974 0.000
N 8.719 -1.974 0.000
```

Fermi-level density of states: 17.7 states/eV/cell
final energy: -104.91 eV for the cell shown
magnetic moment: 0.0465 μB/atom
space group: C2/m, No. 12

***

7.
## Th3Ga4Cu4 (PBE-GGA)

Data for an optimized crystal structure of Th3Ga4Cu4.

Cell and atoms, written as extended XYZ:
```
11
Lattice="-2.203 3.367 7.237 2.203 -3.367 7.237 2.203 3.367 -7.237" Properties=species:S:1:pos:R:3 pbc="T T T"
Th 0.000 0.000 0.000
Th 2.203 0.000 5.321
Th 0.000 3.367 1.917
Ga 0.000 0.000 3.124
Ga 2.203 2.096 0.000
Ga 0.000 1.271 7.237
Ga 0.000 0.000 11.350
Cu 2.203 1.258 -2.408
Cu 2.203 1.258 2.408
Cu 0.000 2.109 4.829
Cu 0.000 2.109 9.646
```

Fermi-level density of states: 6.6 states/eV/cell
energy relative to the elements: -0.416 eV per atom
magnetic moment: 0.0000 μB/atom
space group: Immm, No. 71

***

8.
## Sr3RuPb (PBE-GGA)

Data for an optimized crystal structure of Sr3RuPb.

Cell and atoms, written as extended XYZ:
```
5
Lattice="5.696 0.000 0.000 0.000 5.696 0.000 0.000 0.000 5.696" Properties=species:S:1:pos:R:3 pbc="T T T"
Sr 0.000 0.000 2.848
Sr 0.000 2.848 0.000
Sr 2.848 0.000 0.000
Ru 0.000 0.000 0.000
Pb 2.848 2.848 2.848
```

Fermi-level density of states: 4.4 states/eV/cell
energy relative to the elements: 0.162 eV per atom
magnetic moment: 0.3983 μB/atom
energy relative to the lowest polymorph listed for this composition: 0 kJ/mol of formula units
space group: Pm-3m, No. 221

***

9.
## Ce9Sm4In11 (PBE-GGA)

Data for an optimized crystal structure of Ce9Sm4In11.

Cell and atoms, written as extended XYZ:
```
24
Lattice="7.664 -12.532 0.000 7.664 12.532 0.000 0.000 0.000 3.498" Properties=species:S:1:pos:R:3 pbc="T T T"
Ce 0.000 0.000 0.000
Ce 6.264 6.978 0.000
Ce 6.044 2.339 0.000
Ce 9.065 6.978 0.000
Ce 6.044 -2.339 0.000
Ce 9.285 2.339 0.000
Ce 6.264 -6.978 0.000
Ce 9.285 -2.339 0.000
Ce 9.065 -6.978 0.000
Sm 2.736 2.263 0.000
Sm 2.736 -2.263 0.000
Sm 12.593 2.263 0.000
Sm 12.593 -2.263 0.000
In 4.277 4.722 1.749
In 7.664 9.601 1.749
In 4.321 0.000 1.749
In 7.664 4.601 1.749
In 4.277 -4.722 1.749
In 7.664 0.000 1.749
In 11.052 4.722 1.749
In 7.664 -4.601 1.749
In 11.008 0.000 1.749
In 7.664 -9.601 1.749
In 11.052 -4.722 1.749
```

Fermi-level density of states: 52.9 states/eV/cell
energy relative to the elements: -0.323 eV per atom
magnetic moment: 0.2275 μB/atom
space group: Cmmm, No. 65

***

10.
## PW (PBE-GGA)

Data for an optimized crystal structure of PW.

Cell and atoms, written as extended XYZ:
```
4
Lattice="-1.617 1.617 5.621 1.617 -1.617 5.621 1.617 1.617 -5.621" Properties=species:S:1:pos:R:3 pbc="T T T"
P 0.000 0.000 0.000
P 0.000 1.617 2.810
W 1.617 0.000 1.882
W 0.000 0.000 4.692
```

Fermi-level density of states: 2.8 states/eV/cell
energy relative to the elements: -0.362 eV per atom
magnetic moment: 0.0000 μB/atom
space group: I4_1md, No. 109

***

11.
## Er6Te3C2N (PBE-GGA)

Data for an optimized crystal structure of Er6Te3C2N.

Cell and atoms, written as extended XYZ:
```
12
Lattice="3.265 -5.654 0.000 3.265 5.654 0.000 -2.176 0.000 6.905" Properties=species:S:1:pos:R:3 pbc="T T T"
Er 0.001 1.885 5.623
Er 1.086 0.000 1.285
Er 0.001 -1.885 5.623
Er 4.354 1.885 1.282
Er 3.269 0.000 5.619
Er 4.354 -1.885 1.282
Te -1.088 0.000 3.452
Te 2.177 1.888 3.452
Te 2.177 -1.888 3.452
C 3.265 3.769 0.000
C 3.265 -3.769 0.000
N 3.265 0.000 0.000
```

Fermi-level density of states: 2.7 states/eV/cell
final energy: -76.33 eV for the cell shown
magnetic moment: 0.0000 μB/atom
space group: C2/m, No. 12

***

12.
## PrY2HoSc2 (PBE-GGA)

Data for an optimized crystal structure of PrY2HoSc2.

Cell and atoms, written as extended XYZ:
```
12
Lattice="6.789 0.000 0.000 0.000 9.596 0.000 0.000 0.000 5.511" Properties=species:S:1:pos:R:3 pbc="T T T"
Pr 0.000 0.000 0.000
Pr 3.395 4.798 2.756
Y 1.677 3.197 0.000
Y 1.717 7.995 2.756
Y 5.072 1.601 2.756
Y 5.112 6.399 0.000
Ho 0.000 4.798 2.756
Ho 3.395 0.000 0.000
Sc 1.695 1.598 2.756
Sc 1.700 6.396 0.000
Sc 5.090 3.200 0.000
Sc 5.094 7.998 2.756
```

Fermi-level density of states: 20.4 states/eV/cell
energy relative to the elements: 0.077 eV per atom
magnetic moment: 0.0000 μB/atom
space group: Pnnm, No. 58